Entry from the Alexandria database: a relaxed Sc2Mn5CrB2 crystal (PBE).

Cell: 2.956 8.958 8.958 Å, 90.00 90.00 90.00°
Each line ends with the local moment (μB).
Fractional coordinates of all 20 atoms:
Sc 0.000 0.674 0.174  -0.12
Sc 0.000 0.326 0.826  -0.12
Sc 0.000 0.174 0.326  -0.12
Sc 0.000 0.826 0.674  -0.12
Mn 0.500 0.213 0.067  1.88
Mn 0.500 0.787 0.933  1.88
Mn 0.500 0.067 0.787  1.88
Mn 0.500 0.713 0.433  1.88
Mn 0.500 0.933 0.213  1.88
Mn 0.500 0.287 0.567  1.88
Mn 0.500 0.567 0.713  1.88
Mn 0.500 0.433 0.287  1.88
Mn 0.500 0.500 0.000  1.05
Mn 0.500 0.000 0.500  1.05
Cr 0.000 0.000 0.000  -1.51
Cr 0.000 0.500 0.500  -1.51
B 0.000 0.121 0.621  -0.12
B 0.000 0.879 0.379  -0.12
B 0.000 0.621 0.879  -0.12
B 0.000 0.379 0.121  -0.12

## Properties
Energy relative to the elements: -248 meV per atom
Space-group type: P4/mbm (127)
Energy: -167.936 eV for the cell shown
Magnetization: 13.43 μB/cell